Entry 1:
# Dy3Sb2O

Crystalline Dy3Sb2O at its relaxed geometry (GGA-PBE, the Alexandria database).

Summary:
calculated density = 8.37 Mg/m³
space-group type = No. 36
total magnetic moment = 0.00 μB/cell
total energy = -72.212 eV per cell

Cell: 6.4374 6.9433 6.9433 Å, 107.23 90.00 90.00°
Closest atoms and distances in Å follow each position.
Element x y z (fractional)
Dy1 0.5070 0.1515 0.8459  2 O 2.40-2.47
Dy2 0.0070 0.1541 0.8485  2 O 2.40-2.47
Dy3 0.3059 0.3509 0.3509  1 O 2.28
Dy4 0.8059 0.6491 0.6491  1 O 2.28
Dy5 0.0070 0.8485 0.1541  2 O 2.40-2.47
Dy6 0.5070 0.8459 0.1515  2 O 2.40-2.47
Sb1 0.7492 0.1697 0.4741  6 Dy 3.05-3.33, 1 Sb 3.40
Sb2 0.2492 0.5259 0.8303  6 Dy 3.05-3.33, 1 Sb 3.40
Sb3 0.2492 0.8303 0.5259  6 Dy 3.05-3.33, 1 Sb 3.40
Sb4 0.7492 0.4741 0.1697  6 Dy 3.05-3.33, 1 Sb 3.40
O1 0.7497 0.9225 0.9225  5 Dy 2.28-2.47
O2 0.2497 0.0775 0.0775  5 Dy 2.28-2.47


Entry 2:
# ZrPbW2

Crystalline ZrPbW2 at its relaxed geometry (GGA-PBE, the Alexandria database).

Summary:
calculated density = 13.91 Mg/m³
ΔH_f (0 K) = 381 meV/atom
space-group type = No. 35
total magnetic moment = 0.00 μB/cell
total energy = -36.641 eV per cell

Cell: 3.0246 3.0246 9.4187 Å, 90.00 90.00 112.62°
Closest atoms and distances in Å follow each position.
Element x y z (fractional)
Pb1 0.5000 0.5000 0.7608  2 W 2.99, 4 Pb 3.02, 2 Zr 3.14
W1 0.0000 0.0000 0.0238  2 W 2.61
W2 0.5000 0.5000 0.2362  2 W 2.61, 2 Zr 2.84
Zr1 0.0000 0.0000 0.4791  2 W 2.84, 4 Zr 3.02, 2 Pb 3.14


- The highest calculated density belongs to which entry?
  ZrPbW2


- The lowest calculated density belongs to which entry?
  Dy3Sb2O


- Look up the total energy of the second one.
  -36.641 eV per cell


- Among the records above, which one has the highest calculated density?
  ZrPbW2